Entry 1:
DFT (PBE) results for a relaxed structure of PrZnSn.

The structure in POSCAR format:
```
PrZnSn
1.0
4.5917 0.0000 0.0000
-2.2959 3.9766 0.0000
0.0000 0.0000 16.7240
Pr Zn Sn
4 4 4
Direct
0.0000 0.0000 0.0000 Pr
0.0000 0.0000 0.2500 Pr
0.0000 0.0000 0.5000 Pr
0.0000 0.0000 0.7500 Pr
0.3333 0.6667 0.1562 Zn
0.3333 0.6667 0.3438 Zn
0.6667 0.3333 0.6562 Zn
0.6667 0.3333 0.8438 Zn
0.3333 0.6667 0.6160 Sn
0.3333 0.6667 0.8840 Sn
0.6667 0.3333 0.1160 Sn
0.6667 0.3333 0.3840 Sn
```

Computed properties:
- ΔE_f: -0.64 eV/atom
- M_tot: 0.000 μB per atom
- Density of states at the Fermi level: 0.2442 states/eV per atom

Entry 2:
DFT (PBE) results for a relaxed structure of PrZnSn.

The structure in POSCAR format:
```
PrZnSn
1.0
4.5696 0.0000 0.0000
-2.2848 3.9574 0.0000
0.0000 0.0000 12.6748
Pr Zn Sn
3 3 3
Direct
0.0000 0.0000 0.0000 Pr
0.0000 0.0000 0.3314 Pr
0.0000 0.0000 0.6686 Pr
0.3333 0.6667 0.5000 Zn
0.6667 0.3333 0.1290 Zn
0.6667 0.3333 0.8710 Zn
0.3333 0.6667 0.1770 Sn
0.3333 0.6667 0.8230 Sn
0.6667 0.3333 0.5000 Sn
```

Computed properties:
- ΔE_f: -0.62 eV/atom
- M_tot: 0.000 μB per atom
- Density of states at the Fermi level: 0.4474 states/eV per atom

Entry 3:
DFT (PBE) results for a relaxed structure of PrZnSn.

The structure in POSCAR format:
```
PrZnSn
1.0
2.2153 -8.9475 0.0000
2.2153 8.9475 0.0000
0.0000 0.0000 4.4722
Pr Zn Sn
2 2 2
Direct
0.1780 0.8220 0.7500 Pr
0.8220 0.1780 0.2500 Pr
0.3532 0.6468 0.7500 Zn
0.6468 0.3532 0.2500 Zn
0.0484 0.9516 0.2500 Sn
0.9516 0.0484 0.7500 Sn
```

Computed properties:
- ΔE_f: -0.16 eV/atom
- M_tot: 0.051 μB per atom
- Density of states at the Fermi level: 1.1069 states/eV per atom

Entry 4:
DFT (PBE) results for a relaxed structure of PrZn2Sn2.

The structure in POSCAR format:
```
PrZn2Sn2
1.0
2.2293 -11.5180 0.0000
2.2293 11.5180 0.0000
0.0000 0.0000 4.4752
Pr Zn Sn
2 4 4
Direct
0.1387 0.8613 0.7500 Pr
0.8613 0.1387 0.2500 Pr
0.0297 0.9703 0.2500 Zn
0.4651 0.5349 0.2500 Zn
0.5349 0.4651 0.7500 Zn
0.9703 0.0297 0.7500 Zn
0.2504 0.7496 0.2500 Sn
0.3866 0.6134 0.7500 Sn
0.6134 0.3866 0.2500 Sn
0.7496 0.2504 0.7500 Sn
```

Computed properties:
- ΔE_f: -0.38 eV/atom
- M_tot: 0.000 μB per atom
- Density of states at the Fermi level: 0.3963 states/eV per atom

Entry 5:
DFT (PBE) results for a relaxed structure of Pr3ZnSn3.

The structure in POSCAR format:
```
Pr3ZnSn3
1.0
5.8993 -2.3042 0.0000
5.8993 2.3042 0.0000
-4.9247 0.0000 14.5543
Pr Zn Sn
6 2 6
Direct
0.0208 0.0208 0.3820 Pr
0.1017 0.1017 0.9207 Pr
0.2373 0.2373 0.2302 Pr
0.7627 0.7627 0.7698 Pr
0.8983 0.8983 0.0793 Pr
0.9792 0.9792 0.6180 Pr
0.2752 0.2752 0.6157 Zn
0.7248 0.7248 0.3843 Zn
0.3507 0.3507 0.4543 Sn
0.3776 0.3776 0.9238 Sn
0.4830 0.4830 0.7687 Sn
0.5170 0.5170 0.2313 Sn
0.6224 0.6224 0.0762 Sn
0.6493 0.6493 0.5457 Sn
```

Computed properties:
- ΔE_f: -0.69 eV/atom
- M_tot: 0.034 μB per atom
- Density of states at the Fermi level: 0.7656 states/eV per atom

Entry 6:
DFT (PBE) results for a relaxed structure of Pr4Zn2Sn.

The structure in POSCAR format:
```
Pr4Zn2Sn
1.0
2.6311 1.5191 8.5144
-2.6311 1.5191 8.5144
0.0000 -3.0381 8.5144
Pr Zn Sn
4 2 1
Direct
0.1164 0.1164 0.1164 Pr
0.3685 0.3685 0.3685 Pr
0.6315 0.6315 0.6315 Pr
0.8836 0.8836 0.8836 Pr
0.2484 0.2484 0.2484 Zn
0.7516 0.7516 0.7516 Zn
0.5000 0.5000 0.5000 Sn
```

Computed properties:
- Energy relative to the lowest polymorph listed for this composition: 0 meV/atom
- ΔE_f: -0.29 eV/atom
- M_tot: 0.000 μB per atom
- Density of states at the Fermi level: 1.1893 states/eV per atom

Entry 7:
DFT (PBE) results for a relaxed structure of Pr2ZnSn.

The structure in POSCAR format:
```
Pr2ZnSn
1.0
5.2011 0.0000 0.0000
0.0000 5.2011 0.0000
0.0000 0.0000 4.1128
Pr Zn Sn
2 1 1
Direct
0.0000 0.5000 0.0000 Pr
0.5000 0.0000 0.0000 Pr
0.0000 0.0000 0.5000 Zn
0.5000 0.5000 0.5000 Sn
```

Computed properties:
- ΔE_f: -0.51 eV/atom
- M_tot: 0.000 μB per atom
- Density of states at the Fermi level: 0.6587 states/eV per atom

Entry 8:
DFT (PBE) results for a relaxed structure of PrZnSn2.

The structure in POSCAR format:
```
PrZnSn2
1.0
4.4706 0.0000 0.0000
0.0000 4.4706 0.0000
0.0000 0.0000 10.0884
Pr Zn Sn
2 2 4
Direct
0.2500 0.2500 0.2466 Pr
0.7500 0.7500 0.7534 Pr
0.2500 0.7500 0.0000 Zn
0.7500 0.2500 0.0000 Zn
0.2500 0.2500 0.8261 Sn
0.2500 0.7500 0.5000 Sn
0.7500 0.2500 0.5000 Sn
0.7500 0.7500 0.1739 Sn
```

Computed properties:
- ΔE_f: -0.50 eV/atom
- M_tot: 0.000 μB per atom
- Density of states at the Fermi level: 0.3671 states/eV per atom

Entry 9:
DFT (PBE) results for a relaxed structure of Pr2Zn2Sn.

The structure in POSCAR format:
```
Pr2Zn2Sn
1.0
7.3451 0.0000 0.0000
0.0000 7.3451 0.0000
0.0000 0.0000 4.6611
Pr Zn Sn
4 4 2
Direct
0.1748 0.3252 0.0000 Pr
0.3252 0.8252 0.0000 Pr
0.6748 0.1748 0.0000 Pr
0.8252 0.6748 0.0000 Pr
0.1221 0.6221 0.5000 Zn
0.3779 0.1221 0.5000 Zn
0.6221 0.8779 0.5000 Zn
0.8779 0.3779 0.5000 Zn
0.0000 0.0000 0.5000 Sn
0.5000 0.5000 0.5000 Sn
```

Computed properties:
- ΔE_f: -0.49 eV/atom
- M_tot: 0.000 μB per atom
- Density of states at the Fermi level: 0.5888 states/eV per atom

Entry 10:
DFT (PBE) results for a relaxed structure of Pr4Zn2Sn.

The structure in POSCAR format:
```
Pr4Zn2Sn
1.0
2.5688 1.4831 9.5543
-2.5688 1.4831 9.5543
0.0000 -2.9662 9.5543
Pr Zn Sn
4 2 1
Direct
0.1179 0.1179 0.1179 Pr
0.3019 0.3019 0.3019 Pr
0.6981 0.6981 0.6981 Pr
0.8821 0.8821 0.8821 Pr
0.4042 0.4042 0.4042 Zn
0.5958 0.5958 0.5958 Zn
0.5000 0.5000 0.5000 Sn
```

Computed properties:
- Energy relative to the lowest polymorph listed for this composition: 72 meV/atom
- ΔE_f: -0.21 eV/atom
- M_tot: 0.000 μB per atom
- Density of states at the Fermi level: 0.8047 states/eV per atom

Entry 11:
DFT (PBE) results for a relaxed structure of Pr4ZnSn.

The structure in POSCAR format:
```
Pr4ZnSn
1.0
0.0000 7.2096 7.2096
7.2096 0.0000 7.2096
7.2096 7.2096 0.0000
Pr Zn Sn
16 4 4
Direct
0.0594 0.0594 0.4406 Pr
0.0594 0.4406 0.0594 Pr
0.0594 0.4406 0.4406 Pr
0.1539 0.6154 0.6154 Pr
0.1893 0.1893 0.8107 Pr
0.1893 0.8107 0.1893 Pr
0.1893 0.8107 0.8107 Pr
0.4406 0.0594 0.0594 Pr
0.4406 0.0594 0.4406 Pr
0.4406 0.4406 0.0594 Pr
0.6154 0.1539 0.6154 Pr
0.6154 0.6154 0.1539 Pr
0.6154 0.6154 0.6154 Pr
0.8107 0.1893 0.1893 Pr
0.8107 0.1893 0.8107 Pr
0.8107 0.8107 0.1893 Pr
0.4015 0.4015 0.4015 Zn
0.4015 0.4015 0.7955 Zn
0.4015 0.7955 0.4015 Zn
0.7955 0.4015 0.4015 Zn
0.4796 0.8401 0.8401 Sn
0.8401 0.4796 0.8401 Sn
0.8401 0.8401 0.4796 Sn
0.8401 0.8401 0.8401 Sn
```

Computed properties:
- Energy relative to the lowest polymorph listed for this composition: 27 meV/atom
- ΔE_f: -0.31 eV/atom
- M_tot: 0.000 μB per atom
- Density of states at the Fermi level: 1.4666 states/eV per atom

The E_tot results, record by record, are as follows: -47.9; -35.7; -21.1; -34.5; -64.9; -27.7; -16.9; -32.1; -37.1; -27.2; -105.0 eV/cell.